1.
GdHfRh2: optimized geometry, PBE-GGA.

Lattice parameters (Å, degrees): 4.7514 4.7514 4.7514 60.00 60.00 60.00
Last column: nearest neighbours and their distance in Å.
Atoms (fractional coordinates):
Gd 0.0000 0.0000 0.0000  8 Rh 2.91
Hf 0.5000 0.5000 0.5000  8 Rh 2.91
Rh 0.2500 0.2500 0.2500  4 Hf 2.91, 4 Gd 2.91
Rh 0.7500 0.7500 0.7500  4 Hf 2.91, 4 Gd 2.91

Output
- space-group type = Fm-3m (225)
- excess energy over the best structure of this formula in the dataset (meV/atom) = 89
- energy of formation (meV per atom) = -767



2.
Mg5Sb2Pd12: optimized geometry, PBE-GGA.

Lattice parameters (Å, degrees): 7.6847 7.6847 5.9536 93.48 93.48 65.87
Last column: nearest neighbours and their distance in Å.
Atoms (fractional coordinates):
Mg 0.0000 0.0000 0.0000  6 Pd 2.69-2.74
Mg 0.2450 0.2450 0.0308  10 Pd 2.69-3.00, 1 Mg 2.97
Mg 0.3272 0.3272 0.5778  9 Pd 2.71-2.95, 1 Mg 2.97
Mg 0.6728 0.6728 0.4222  9 Pd 2.71-2.95, 1 Mg 2.97
Mg 0.7550 0.7550 0.9692  10 Pd 2.69-3.00, 1 Mg 2.97
Sb 0.2369 0.7631 0.5000  8 Pd 2.70-2.79
Sb 0.7631 0.2369 0.5000  8 Pd 2.70-2.79
Pd 0.0455 0.5627 0.2958  1 Sb 2.72, 4 Mg 2.74-2.84, 5 Pd 2.77-2.94
Pd 0.1287 0.1287 0.3871  3 Mg 2.69-2.74, 2 Sb 2.70, 4 Pd 2.85
Pd 0.1725 0.6244 0.8957  4 Mg 2.69-3.00, 6 Pd 2.77-2.85, 1 Sb 2.79
Pd 0.3756 0.8275 0.1043  4 Mg 2.69-3.00, 6 Pd 2.77-2.85, 1 Sb 2.79
Pd 0.4373 0.9545 0.7042  1 Sb 2.72, 4 Mg 2.74-2.84, 5 Pd 2.77-2.94
Pd 0.4546 0.4546 0.2353  3 Mg 2.71-2.95, 2 Sb 2.74, 6 Pd 2.82-2.94
Pd 0.5454 0.5454 0.7647  3 Mg 2.71-2.95, 2 Sb 2.74, 6 Pd 2.82-2.94
Pd 0.5627 0.0455 0.2958  1 Sb 2.72, 4 Mg 2.74-2.84, 5 Pd 2.77-2.94
Pd 0.6244 0.1725 0.8957  4 Mg 2.69-3.00, 6 Pd 2.77-2.85, 1 Sb 2.79
Pd 0.8275 0.3756 0.1043  4 Mg 2.69-3.00, 6 Pd 2.77-2.85, 1 Sb 2.79
Pd 0.8713 0.8713 0.6129  3 Mg 2.69-2.74, 2 Sb 2.70, 4 Pd 2.85
Pd 0.9545 0.4373 0.7042  1 Sb 2.72, 4 Mg 2.74-2.84, 5 Pd 2.77-2.94

Output
- formation energy without anion corrections (meV per atom) = -556
- space-group type = C2/m (12)



3.
WSe2: optimized geometry, PBE-GGA.

Lattice parameters (Å, degrees): 13.9866 13.9866 13.9866 167.31 167.31 17.99
Last column: nearest neighbours and their distance in Å.
Atoms (fractional coordinates):
W 0.3750 0.6250 0.7500  8 Se 2.69
W 0.6250 0.3750 0.2500  8 Se 2.69
Se 0.0686 0.8186 0.2500  4 W 2.69
Se 0.1814 0.9314 0.2500  4 W 2.69
Se 0.8186 0.0686 0.7500  4 W 2.69
Se 0.9314 0.1814 0.7500  4 W 2.69

Output
- formation energy without anion corrections (meV per atom) = -170
- space-group type = I4_1/amd (141)



4.
Tb14HoIn: optimized geometry, PBE-GGA.

Lattice parameters (Å, degrees): 10.0158 7.0561 7.0561 90.00 90.00 90.00
Last column: nearest neighbours and their distance in Å.
Atoms (fractional coordinates):
Tb 0.0000 0.9999 0.9999  12 Tb 3.53-3.56
Tb 0.0000 0.9997 0.5002  12 Tb 3.53-3.56
Tb 0.0000 0.5002 0.9997  12 Tb 3.53-3.56
Tb 0.0000 0.5000 0.5000  12 Tb 3.53-3.55
Tb 0.2525 0.2504 0.2504  10 Tb 3.51-3.56, 1 In 3.52, 1 Ho 3.52
Tb 0.2529 0.2504 0.7497  1 In 3.51, 10 Tb 3.51-3.56, 1 Ho 3.52
Tb 0.2529 0.7497 0.2504  1 In 3.51, 10 Tb 3.51-3.56, 1 Ho 3.52
Tb 0.2532 0.7495 0.7495  1 In 3.51, 1 Ho 3.52, 10 Tb 3.52-3.56
Tb 0.5000 0.0008 0.4997  8 Tb 3.51-3.52, 2 In 3.52-3.53, 2 Ho 3.53
Tb 0.5000 0.4997 0.0008  8 Tb 3.51-3.52, 2 In 3.52-3.53, 2 Ho 3.53
Tb 0.7475 0.2504 0.2504  10 Tb 3.51-3.56, 1 In 3.52, 1 Ho 3.52
Tb 0.7471 0.2504 0.7497  1 In 3.51, 10 Tb 3.51-3.56, 1 Ho 3.52
Tb 0.7471 0.7497 0.2504  1 In 3.51, 10 Tb 3.51-3.56, 1 Ho 3.52
Tb 0.7468 0.7495 0.7495  1 In 3.51, 1 Ho 3.52, 10 Tb 3.52-3.56
Ho 0.5000 0.0000 0.0000  12 Tb 3.52-3.53
In 0.5000 0.5002 0.5002  12 Tb 3.51-3.53

Output
- space-group type = Amm2 (38)
- energy of formation (meV per atom) = -32



5.
Mg3TcB: optimized geometry, PBE-GGA.

Lattice parameters (Å, degrees): 4.9984 4.9984 4.9984 90.00 90.00 90.00
Last column: nearest neighbours and their distance in Å.
Atoms (fractional coordinates):
Mg 0.0000 0.0000 0.5000  2 Tc 2.50
Mg 0.0000 0.5000 0.0000  2 Tc 2.50
Mg 0.5000 0.0000 0.0000  2 Tc 2.50
Tc 0.0000 0.0000 0.0000  6 Mg 2.50
B 0.5000 0.5000 0.5000  12 Mg 3.53

Output
- space-group type = Pm-3m (221)
- excess energy over the best structure of this formula in the dataset (meV/atom) = 871
- energy of formation (meV per atom) = 1636



6.
NaAgPCl2: optimized geometry, PBE-GGA.

Lattice parameters (Å, degrees): 5.3590 5.3590 4.8218 90.00 90.00 90.00
Last column: nearest neighbours and their distance in Å.
Atoms (fractional coordinates):
Na 0.0000 0.0000 0.0000  8 Cl 3.60, 4 P 3.79
Ag 0.5000 0.5000 0.5000  2 P 2.41, 4 Cl 2.68
P 0.5000 0.5000 0.0000  2 Ag 2.41
Cl 0.0000 0.5000 0.5000  2 Ag 2.68
Cl 0.5000 0.0000 0.5000  2 Ag 2.68

Output
- formation energy without anion corrections (meV per atom) = -187
- space-group type = P4/mmm (123)
- excess energy over the best structure of this formula in the dataset (meV/atom) = 0



7.
K3TlAu: optimized geometry, PBE-GGA.

Lattice parameters (Å, degrees): 9.1143 9.1143 5.5203 90.00 90.00 112.94
Last column: nearest neighbours and their distance in Å.
Atoms (fractional coordinates):
K 0.1076 0.8924 0.7500  2 Au 3.53
K 0.1526 0.4544 0.7500  3 Au 3.42-3.70, 3 Tl 3.69-3.70
K 0.4544 0.1526 0.2500  3 Au 3.42-3.70, 3 Tl 3.69-3.70
K 0.5456 0.8474 0.7500  3 Au 3.42-3.70, 3 Tl 3.69-3.70
K 0.8474 0.5456 0.2500  3 Au 3.42-3.70, 3 Tl 3.69-3.70
K 0.8924 0.1076 0.2500  2 Au 3.53
Tl 0.4455 0.5545 0.2500  1 Au 2.93, 2 Tl 3.22
Tl 0.5545 0.4455 0.7500  1 Au 2.93, 2 Tl 3.22
Au 0.2526 0.7474 0.2500  1 Tl 2.93
Au 0.7474 0.2526 0.7500  1 Tl 2.93

Output
- space-group type = Cmcm (63)
- excess energy over the best structure of this formula in the dataset (meV/atom) = 0
- energy of formation (meV per atom) = -161



8.
Tm7Cu2Ag2: optimized geometry, PBE-GGA.

Lattice parameters (Å, degrees): 6.6060 6.6060 7.0539 90.00 90.00 109.80
Last column: nearest neighbours and their distance in Å.
Atoms (fractional coordinates):
Tm 0.0000 0.0000 0.0000  2 Cu 3.21
Tm 0.0000 0.5000 0.2612  2 Cu 2.69
Tm 0.0000 0.5000 0.7388  2 Cu 2.69
Tm 0.5000 0.0000 0.2612  2 Cu 2.69
Tm 0.5000 0.0000 0.7388  2 Cu 2.69
Tm 0.5000 0.5000 0.2491  2 Cu 2.81, 2 Ag 3.00
Tm 0.5000 0.5000 0.7509  2 Cu 2.81, 2 Ag 3.00
Cu 0.2970 0.7030 0.0000  6 Tm 2.69-2.81
Cu 0.7030 0.2970 0.0000  6 Tm 2.69-2.81
Ag 0.1814 0.1814 0.5000  1 Ag 2.76, 2 Tm 3.00
Ag 0.8186 0.8186 0.5000  1 Ag 2.76, 2 Tm 3.00

Output
- space-group type = Cmmm (65)
- energy of formation (meV per atom) = 10



| no. | magnetic moment (μB/cell) |
| --- | --- |
| 1 | 7.11 |
| 2 | 0.00 |
| 3 | 0.00 |
| 4 | 0.00 |
| 5 | 0.67 |
| 6 | 2.12 |
| 7 | 0.00 |
| 8 | 0.00 |